(1)
An optimized crystal structure of CaInIrPd, computed with PBE-GGA.

a = 4.7347 Å, b = 4.7347 Å, c = 4.7347 Å
α = 60.00°, β = 60.00°, γ = 60.00°
With the nearest neighbours (Å) after each atom.
Fractional coordinates of all 4 atoms:
In 0.2500 0.2500 0.2500  4 Ir 2.90, 4 Pd 2.90
Ir 0.5000 0.5000 0.5000  4 In 2.90, 4 Ca 2.90
Ca 0.7500 0.7500 0.7500  4 Pd 2.90, 4 Ir 2.90
Pd 0.0000 0.0000 0.0000  4 Ca 2.90, 4 In 2.90

Computed properties:
Uncorrected energy: -5.08 eV per atom

***

(2)
An optimized crystal structure of Ca2In6IrPd, computed with PBE-GGA.

a = 7.3188 Å, b = 7.3188 Å, c = 7.3188 Å
α = 60.00°, β = 60.00°, γ = 90.00°
With the nearest neighbours (Å) after each atom.
Fractional coordinates of all 10 atoms:
In 0.7506 0.7506 0.0000  1 Pd 2.58, 1 Ir 2.59
In 0.2494 0.2494 0.0000  1 Pd 2.58, 1 Ir 2.59
In 0.2494 0.7506 0.0000  1 Pd 2.58, 1 Ir 2.59
In 0.7506 0.2494 0.0000  1 Pd 2.58, 1 Ir 2.59
In 0.7506 0.7506 0.4988  1 Pd 2.58, 1 Ir 2.59
In 0.2494 0.2494 0.5012  1 Pd 2.58, 1 Ir 2.59
Ca 0.2500 0.7500 0.5000  12 In 3.66
Ca 0.7500 0.2500 0.5000  12 In 3.66
Pd 0.0000 0.0000 0.0000  6 In 2.58
Ir 0.5000 0.5000 0.0000  6 In 2.59

Computed properties:
Uncorrected energy: -3.63 eV per atom

***

(3)
An optimized crystal structure of CaPmInIr, computed with PBE-GGA.

a = 5.1403 Å, b = 5.1403 Å, c = 5.1403 Å
α = 60.00°, β = 60.00°, γ = 60.00°
With the nearest neighbours (Å) after each atom.
Fractional coordinates of all 4 atoms:
Pm 0.2500 0.2500 0.2500  4 In 3.15, 4 Ir 3.15
Ca 0.7500 0.7500 0.7500  4 In 3.15, 4 Ir 3.15
Ir 0.5000 0.5000 0.5000  4 Ca 3.15, 4 Pm 3.15
In 0.0000 0.0000 0.0000  4 Ca 3.15, 4 Pm 3.15

Computed properties:
Uncorrected energy: -4.97 eV per atom

***

(4)
An optimized crystal structure of CaPrInIr, computed with PBE-GGA.

a = 5.1839 Å, b = 5.1839 Å, c = 5.1839 Å
α = 60.00°, β = 60.00°, γ = 60.00°
With the nearest neighbours (Å) after each atom.
Fractional coordinates of all 4 atoms:
Ir 0.0000 0.0000 0.0000  4 Pr 3.17, 4 Ca 3.17
Pr 0.7500 0.7500 0.7500  4 In 3.17, 4 Ir 3.17
In 0.5000 0.5000 0.5000  4 Pr 3.17, 4 Ca 3.17
Ca 0.2500 0.2500 0.2500  4 In 3.17, 4 Ir 3.17

Computed properties:
Uncorrected energy: -4.95 eV per atom

***

(5)
An optimized crystal structure of CaInIrPt2, computed with PBE-GGA.

a = 4.8679 Å, b = 5.3799 Å, c = 4.8679 Å
α = 90.00°, β = 90.00°, γ = 90.00°
With the nearest neighbours (Å) after each atom.
Fractional coordinates of all 5 atoms:
Ca 0.0000 0.5000 0.0000  2 In 2.69
Pt 0.5000 0.0000 0.0000  2 In 2.43
Pt 0.0000 0.0000 0.5000  2 In 2.43
Ir 0.5000 0.5000 0.5000  4 Ca 3.44, 8 Pt 3.63
In 0.0000 0.0000 0.0000  4 Pt 2.43, 2 Ca 2.69

Computed properties:
Uncorrected energy: -3.93 eV per atom

***

(6)
An optimized crystal structure of Ca2In6IrPt, computed with PBE-GGA.

a = 7.3411 Å, b = 7.3411 Å, c = 7.3411 Å
α = 60.00°, β = 60.00°, γ = 90.00°
With the nearest neighbours (Å) after each atom.
Fractional coordinates of all 10 atoms:
Pt 0.0000 0.0000 0.0000  6 In 2.60
In 0.7494 0.7494 0.5013  1 Ir 2.59, 1 Pt 2.60
In 0.7494 0.7494 0.0000  1 Ir 2.59, 1 Pt 2.60
In 0.7494 0.2506 0.0000  1 Ir 2.59, 1 Pt 2.60
In 0.2506 0.7494 0.0000  1 Ir 2.59, 1 Pt 2.60
In 0.2506 0.2506 0.4987  1 Ir 2.59, 1 Pt 2.60
In 0.2506 0.2506 0.0000  1 Ir 2.59, 1 Pt 2.60
Ca 0.2500 0.7500 0.5000  12 In 3.67
Ca 0.7500 0.2500 0.5000  12 In 3.67
Ir 0.5000 0.5000 0.0000  6 In 2.59

Computed properties:
Uncorrected energy: -3.73 eV per atom

***

(7)
An optimized crystal structure of CaPuInIr, computed with PBE-GGA.

a = 5.0824 Å, b = 5.0824 Å, c = 5.0824 Å
α = 60.00°, β = 60.00°, γ = 60.00°
With the nearest neighbours (Å) after each atom.
Fractional coordinates of all 4 atoms:
Ir 0.5000 0.5000 0.5000  4 Ca 3.11, 4 Pu 3.11
Ca 0.2500 0.2500 0.2500  4 In 3.11, 4 Ir 3.11
In 0.0000 0.0000 0.0000  4 Pu 3.11, 4 Ca 3.11
Pu 0.7500 0.7500 0.7500  4 In 3.11, 4 Ir 3.11

Computed properties:
Uncorrected energy: -7.17 eV per atom

***

(8)
An optimized crystal structure of RbCa2InIr, computed with PBE-GGA.

a = 5.6297 Å, b = 5.6297 Å, c = 5.3650 Å
α = 90.00°, β = 90.00°, γ = 90.00°
With the nearest neighbours (Å) after each atom.
Fractional coordinates of all 5 atoms:
Rb 0.5000 0.5000 0.5000  8 Ca 3.89, 4 In 3.98
Ca 0.0000 0.5000 0.0000  2 Ir 2.81
Ca 0.5000 0.0000 0.0000  2 Ir 2.81
In 0.0000 0.0000 0.5000  2 Ir 2.68
Ir 0.0000 0.0000 0.0000  2 In 2.68, 4 Ca 2.81

Computed properties:
Uncorrected energy: -3.51 eV per atom

***

(9)
An optimized crystal structure of RbCaIn2Ir, computed with PBE-GGA.

a = 5.3076 Å, b = 5.3076 Å, c = 5.5302 Å
α = 90.00°, β = 90.00°, γ = 90.00°
With the nearest neighbours (Å) after each atom.
Fractional coordinates of all 5 atoms:
In 0.5000 0.0000 0.0000  2 Ir 2.65
In 0.0000 0.5000 0.0000  2 Ir 2.65
Ca 0.0000 0.0000 0.5000  2 Ir 2.77
Ir 0.0000 0.0000 0.0000  4 In 2.65, 2 Ca 2.77
Rb 0.5000 0.5000 0.5000  4 Ca 3.75, 8 In 3.83

Computed properties:
Uncorrected energy: -3.67 eV per atom

***

(10)
An optimized crystal structure of CaInReIr2, computed with PBE-GGA.

a = 4.7729 Å, b = 5.3867 Å, c = 4.7729 Å
α = 90.00°, β = 90.00°, γ = 90.00°
With the nearest neighbours (Å) after each atom.
Fractional coordinates of all 5 atoms:
Ir 0.0000 0.0000 0.5000  2 Re 2.39
Ir 0.5000 0.0000 0.0000  2 Re 2.39
Ca 0.0000 0.5000 0.0000  2 Re 2.69
In 0.5000 0.5000 0.5000  4 Ca 3.37, 8 Ir 3.60
Re 0.0000 0.0000 0.0000  4 Ir 2.39

Computed properties:
Uncorrected energy: -6.06 eV per atom

***

(11)
An optimized crystal structure of Ca2In5Ir2Rh, computed with PBE-GGA.

a = 3.9009 Å, b = 10.5346 Å, c = 10.5346 Å
α = 90.00°, β = 90.00°, γ = 90.00°
With the nearest neighbours (Å) after each atom.
Fractional coordinates of all 20 atoms:
In 0.5000 0.0624 0.8054  2 Ir 2.80, 2 Rh 2.91, 2 In 3.04
In 0.5000 0.4376 0.3054  2 Ir 2.80, 2 Rh 2.91, 2 In 3.04
In 0.5000 0.9376 0.1946  2 Ir 2.80, 2 Rh 2.91, 2 In 3.04
In 0.5000 0.5000 0.0000  4 Ir 2.71
In 0.5000 0.5624 0.6946  2 Ir 2.80, 2 Rh 2.91, 2 In 3.04
In 0.5000 0.1946 0.0624  2 Ir 2.80, 2 Rh 2.91, 2 In 3.04
In 0.5000 0.0000 0.5000  4 Ir 2.71
In 0.5000 0.6946 0.4376  2 Ir 2.80, 2 Rh 2.91, 2 In 3.04
In 0.5000 0.3054 0.5624  2 Ir 2.80, 2 Rh 2.91, 2 In 3.04
In 0.5000 0.8054 0.9376  2 Ir 2.80, 2 Rh 2.91, 2 In 3.04
Ca 0.0000 0.8245 0.6755  3 Ir 2.95-3.22, 2 In 3.26
Ca 0.0000 0.1755 0.3245  3 Ir 2.95-3.22, 2 In 3.26
Ca 0.0000 0.3245 0.8245  3 Ir 2.95-3.22, 2 In 3.26
Ca 0.0000 0.6755 0.1755  3 Ir 2.95-3.22, 2 In 3.26
Rh 0.0000 0.5000 0.5000  8 In 2.91
Rh 0.0000 0.0000 0.0000  8 In 2.91
Ir 0.0000 0.3736 0.1264  6 In 2.71-2.80, 1 Ca 2.95
Ir 0.0000 0.8736 0.3736  6 In 2.71-2.80, 1 Ca 2.95
Ir 0.0000 0.6264 0.8736  6 In 2.71-2.80, 1 Ca 2.95
Ir 0.0000 0.1264 0.6264  6 In 2.71-2.80, 1 Ca 2.95

Computed properties:
Uncorrected energy: -4.57 eV per atom

***

(12)
An optimized crystal structure of CaIn4Ir2Rh, computed with PBE-GGA.

a = 4.7151 Å, b = 4.7151 Å, c = 8.2567 Å
α = 73.41°, β = 73.41°, γ = 60.00°
With the nearest neighbours (Å) after each atom.
Fractional coordinates of all 8 atoms:
In 0.6168 0.6168 0.1495  1 Rh 2.73, 4 Ir 2.81-3.03, 3 Ca 2.96
In 0.8675 0.8675 0.3975  4 Ir 2.83-2.99, 3 Rh 2.84, 1 Ca 3.10, 3 In 3.16
In 0.1325 0.1325 0.6025  4 Ir 2.83-2.99, 3 Rh 2.84, 1 Ca 3.10, 3 In 3.16
In 0.3832 0.3832 0.8505  1 Rh 2.73, 4 Ir 2.81-3.03, 3 Ca 2.96
Ir 0.7466 0.7466 0.7602  8 In 2.81-3.03
Ir 0.2534 0.2534 0.2398  8 In 2.81-3.03
Ca 0.0000 0.0000 0.0000  8 In 2.96-3.10, 6 Ir 3.30
Rh 0.5000 0.5000 0.5000  8 In 2.73-2.84

Computed properties:
Uncorrected energy: -5.00 eV per atom

***

(13)
An optimized crystal structure of CaIn2IrRu, computed with PBE-GGA.

a = 5.0908 Å, b = 4.8502 Å, c = 5.0908 Å
α = 90.00°, β = 90.00°, γ = 90.00°
With the nearest neighbours (Å) after each atom.
Fractional coordinates of all 5 atoms:
In 0.5000 0.0000 0.0000  2 Ru 2.55
In 0.0000 0.0000 0.5000  2 Ru 2.55
Ir 0.0000 0.5000 0.0000  2 Ru 2.43
Ru 0.0000 0.0000 0.0000  2 Ir 2.43, 4 In 2.55
Ca 0.5000 0.5000 0.5000  8 In 3.52, 4 Ir 3.60

Computed properties:
Uncorrected energy: -4.84 eV per atom

***

(14)
An optimized crystal structure of CaInSiIr2, computed with PBE-GGA.

a = 4.9092 Å, b = 5.3577 Å, c = 4.9092 Å
α = 90.00°, β = 90.00°, γ = 90.00°
With the nearest neighbours (Å) after each atom.
Fractional coordinates of all 5 atoms:
Ca 0.0000 0.5000 0.0000  2 In 2.68
In 0.0000 0.0000 0.0000  4 Ir 2.45, 2 Ca 2.68
Ir 0.0000 0.0000 0.5000  2 In 2.45
Ir 0.5000 0.0000 0.0000  2 In 2.45
Si 0.5000 0.5000 0.5000  4 Ca 3.47, 8 Ir 3.63

Computed properties:
Raw formation energy: 1.368 eV/atom